[1]
! ZrRu2Br (PBE, optimized geometry); values from VASP
&SYSTEM
  ibrav = 0, nat = 4, ntyp = 3
/
ATOMIC_SPECIES
Ru 101.07 Ru.upf
Br 79.90 Br.upf
Zr 91.22 Zr.upf
CELL_PARAMETERS angstrom
8.4581 -0.0154 -0.0091
7.8626 3.1178 -0.0091
7.8626 1.4946 2.7362
ATOMIC_POSITIONS crystal
Ru 0.9978 0.9978 0.9978
Ru 0.5022 0.5022 0.5022
Br 0.7500 0.7500 0.7500
Zr 0.2500 0.2500 0.2500
! Magnetization in μB per atom: 0.0000
! ρ in g/cm³: 8.52
! E in eV/atom: -6.88
! Energy relative to the lowest polymorph listed for this composition in kJ per mole of atoms: 31.6

---

[2]
! Ce2NiSe3 (PBE, optimized geometry); values from VASP
&SYSTEM
  ibrav = 0, nat = 24, ntyp = 3
/
ATOMIC_SPECIES
Ce 140.12 Ce.upf
Ni 58.69 Ni.upf
Se 78.96 Se.upf
CELL_PARAMETERS angstrom
-3.1810 2.5274 0.5507
-2.1885 -4.9447 10.0514
6.9713 7.6259 5.2694
ATOMIC_POSITIONS crystal
Ce 0.7500 0.1933 0.9957
Ce 0.7500 0.6933 0.5043
Ce 0.2500 0.8067 0.0043
Ce 0.2500 0.3067 0.4957
Ce 0.7500 0.0199 0.3127
Ce 0.7500 0.5199 0.1873
Ce 0.2500 0.9801 0.6873
Ce 0.2500 0.4801 0.8127
Ni 0.7500 0.7639 0.7792
Ni 0.7500 0.2639 0.7208
Ni 0.2500 0.2361 0.2208
Ni 0.2500 0.7361 0.2792
Se 0.7500 0.9484 0.8730
Se 0.7500 0.4484 0.6270
Se 0.2500 0.0516 0.1270
Se 0.2500 0.5516 0.3730
Se 0.7500 0.6204 0.9403
Se 0.7500 0.1204 0.5597
Se 0.2500 0.3796 0.0597
Se 0.2500 0.8796 0.4403
Se 0.7500 0.7849 0.1926
Se 0.7500 0.2849 0.3074
Se 0.2500 0.2151 0.8074
Se 0.2500 0.7151 0.6926
! Magnetization in μB per atom: 0.3236
! ρ in g/cm³: 7.05
! E in eV/atom: -6.18
! Energy relative to the lowest polymorph listed for this composition in kJ per mole of atoms: 0.0

---

[3]
! SmTmMnAg (PBE, optimized geometry); values from VASP
&SYSTEM
  ibrav = 0, nat = 4, ntyp = 4
/
ATOMIC_SPECIES
Mn 54.94 Mn.upf
Tm 168.93 Tm.upf
Ag 107.87 Ag.upf
Sm 150.36 Sm.upf
CELL_PARAMETERS angstrom
-2.2715 -3.6190 -2.8008
1.3329 -0.6602 -4.8876
2.6101 -4.1642 -1.3959
ATOMIC_POSITIONS crystal
Mn 0.0000 0.0000 0.0000
Tm 0.7500 0.7500 0.7500
Ag 0.5000 0.5000 0.5000
Sm 0.2500 0.2500 0.2500
! Magnetization in μB per atom: 0.8274
! ρ in g/cm³: 8.49
! Energy relative to the elements in meV/atom: 6
! E in eV/atom: -5.30

---

[4]
! Ho4Pt2Au (PBE, optimized geometry); values from VASP
&SYSTEM
  ibrav = 0, nat = 7, ntyp = 3
/
ATOMIC_SPECIES
Au 196.97 Au.upf
Ho 164.93 Ho.upf
Pt 195.08 Pt.upf
CELL_PARAMETERS angstrom
4.6639 0.0000 1.4571
2.1043 4.1621 1.4571
-0.1475 -0.0907 8.6646
ATOMIC_POSITIONS crystal
Au 0.0000 0.0000 0.0000
Ho 0.8731 0.8731 0.3806
Ho 0.1269 0.1269 0.6194
Ho 0.6223 0.6223 0.1330
Ho 0.3777 0.3777 0.8670
Pt 0.7555 0.7555 0.7334
Pt 0.2445 0.2445 0.2666
! Magnetization in μB per atom: 0.0000
! ρ in g/cm³: 12.22
! Energy relative to the elements in meV/atom: -987
! E in eV/atom: -5.80

---

Which formula does entry 1 have? ZrRu2Br

---

Which of these has the lowest ρ? Ce2NiSe3